Nd3SnC | OQMD via LeMat-Bulk | PBE | optimized geometry; total energy = -29.900 eV for the cell shown
1.0
5.104 0.000 0.000
0.000 5.104 0.000
0.000 0.000 5.104
Nd Sn C
3 1 1
direct
0.000 0.000 0.500
0.000 0.500 0.000
0.500 0.000 0.000
0.500 0.500 0.500
0.000 0.000 0.000